Computed, not measured: a geometry-optimized KNaV6Pb8O24 structure at the PBE+U level of DFT.

a = 10.3093 Å, b = 10.3093 Å, c = 7.5189 Å
α = 90.00°, β = 90.00°, γ = 120.00°
Sites, in units of the cell vectors:
K1 0.0000 0.0000 0.0000
Na1 0.6667 0.3333 0.5194
V1 0.3217 0.0434 0.7633
V2 0.3525 0.2923 0.2815
V3 0.7077 0.0602 0.2815
V4 0.7217 0.6783 0.7633
V5 0.9398 0.6475 0.2815
V6 0.9566 0.2783 0.7633
Pb1 0.0000 0.0000 0.4915
Pb2 0.0718 0.4092 0.2822
Pb3 0.0757 0.6681 0.7625
Pb4 0.3319 0.4076 0.7625
Pb5 0.3374 0.9282 0.2822
Pb6 0.5908 0.6626 0.2822
Pb7 0.5924 0.9243 0.7625
Pb8 0.6667 0.3333 0.9874
O1 0.0184 0.5887 0.4473
O2 0.0322 0.8432 0.2814
O3 0.0620 0.3154 0.9526
O4 0.0895 0.3456 0.5924
O5 0.1568 0.1890 0.2814
O6 0.2402 0.1585 0.7389
O7 0.2534 0.9380 0.9526
O8 0.2560 0.9105 0.5924
O9 0.4113 0.4296 0.4473
O10 0.4211 0.3906 0.0857
O11 0.4338 0.1790 0.3148
O12 0.5181 0.1471 0.7673
O13 0.5704 0.9816 0.4473
O14 0.6094 0.0305 0.0857
O15 0.6289 0.4819 0.7673
O16 0.6544 0.7440 0.5924
O17 0.6846 0.7466 0.9526
O18 0.7452 0.5662 0.3148
O19 0.8110 0.9678 0.2814
O20 0.8210 0.2548 0.3148
O21 0.8415 0.0817 0.7389
O22 0.8529 0.3711 0.7673
O23 0.9183 0.7598 0.7389
O24 0.9695 0.5789 0.0857

The uncorrected energy is -6.60 eV/atom.